18
Lattice="6.7516 0.0000 0.0000 0.0000 6.7516 0.0000 0.0000 0.0000 5.5912" Properties=species:S:1:pos:R:3 comment="Pm2FeAgO5, optimized geometry, DFT GGA+U" volume_a3_per_cell=255 sg="P4/mbm (127)" energy_ev_per_cell=-124.009 pbc="T T T"
Pm 1.1994 2.1763 0.0000
Pm 2.1763 5.5521 0.0000
Pm 4.5752 1.1994 0.0000
Pm 5.5521 4.5752 0.0000
Fe 0.0000 3.3758 2.7956
Fe 3.3758 0.0000 2.7956
Ag 0.0000 0.0000 2.7956
Ag 3.3758 3.3758 2.7956
O 0.0000 0.0000 0.0000
O 0.8833 4.2591 1.4343
O 0.8833 4.2591 4.1568
O 2.4925 0.8833 1.4343
O 2.4925 0.8833 4.1568
O 3.3758 3.3758 0.0000
O 4.2591 5.8682 1.4343
O 4.2591 5.8682 4.1568
O 5.8682 2.4925 1.4343
O 5.8682 2.4925 4.1568